[1]
A plane-wave DFT calculation with PBE was carried out for TeAsRhI2 after structural relaxation.

Cell and atoms, written as extended XYZ:
```
5
Lattice="5.587 0.000 0.000 0.000 5.587 0.000 0.000 0.000 5.585" Properties=species:S:1:pos:R:3 pbc="T T T"
I 2.793 0.000 0.000
I 0.000 2.793 0.000
Rh 2.793 2.793 2.792
As 0.000 0.000 0.000
Te 0.000 0.000 2.792
```

The value obtained for the uncorrected formation energy is 4.70 eV/f.u. As for the volume: 34.863 Å³/atom.


[2]
A plane-wave DFT calculation with PBE was carried out for Ba4PSeBr2 after structural relaxation.

Cell and atoms, written as extended XYZ:
```
8
Lattice="-2.259 1.045 -3.995 -3.483 -7.389 0.037 -4.844 5.299 4.125" Properties=species:S:1:pos:R:3 pbc="T T T"
Br -4.163 -1.045 2.081
Br -3.551 3.172 0.065
Ba -4.713 2.149 3.227
Ba -7.505 -0.897 1.237
Ba -3.081 -0.148 -1.069
Ba -3.614 -4.238 0.935
Se 0.000 0.000 0.000
P -2.871 -3.172 -1.979
```

The value obtained for the uncorrected formation energy is -13.75 eV/f.u. As for the volume: 37.605 Å³/atom.


[3]
A plane-wave DFT calculation with PBE was carried out for Al2BO after structural relaxation.

Cell and atoms, written as extended XYZ:
```
8
Lattice="-0.874 3.932 -2.446 -4.631 -0.757 0.437 -2.780 4.010 2.900" Properties=species:S:1:pos:R:3 pbc="T T T"
Al -3.678 0.931 0.748
Al -7.007 5.769 0.427
Al -1.840 3.455 -0.805
Al -4.043 4.216 1.412
O -3.203 4.765 -0.275
O 0.000 0.000 0.000
B -5.081 2.420 1.166
B -2.752 1.588 -1.005
```

The value obtained for the uncorrected formation energy is -3.08 eV/f.u. As for the volume: 12.756 Å³/atom.


[4]
A plane-wave DFT calculation with PBE was carried out for Rb2CdHg6Bi after structural relaxation.

Cell and atoms, written as extended XYZ:
```
20
Lattice="8.314 0.000 0.000 0.000 8.989 0.000 0.000 0.000 9.813" Properties=species:S:1:pos:R:3 pbc="T T T"
Hg 0.000 6.930 7.264
Hg 6.804 8.488 4.907
Hg 1.446 5.242 0.000
Hg 0.000 6.930 2.549
Hg 2.711 3.747 4.907
Hg 5.603 3.747 4.907
Hg 4.157 2.059 2.358
Hg 2.647 0.502 0.000
Hg 6.869 5.242 0.000
Hg 1.510 8.488 4.907
Hg 4.157 2.059 7.456
Hg 5.667 0.502 0.000
Cd 4.157 0.712 4.907
Cd 0.000 8.278 0.000
Rb 4.157 6.793 2.553
Rb 0.000 2.196 2.354
Rb 0.000 2.196 7.459
Rb 4.157 6.793 7.261
Bi 4.157 3.997 0.000
Bi 0.000 4.993 4.907
```

As for the volume: 36.674 Å³/atom. Its energy of formation is -135 meV/atom.


[5]
A plane-wave DFT calculation with PBE was carried out for CrCSe3 after structural relaxation.

Cell and atoms, written as extended XYZ:
```
5
Lattice="4.759 0.000 0.000 0.000 4.759 0.000 0.000 0.000 4.759" Properties=species:S:1:pos:R:3 pbc="T T T"
Cr 0.000 0.000 0.000
C 2.379 2.379 2.379
Se 0.000 0.000 2.379
Se 0.000 2.379 0.000
Se 2.379 0.000 0.000
```

The value obtained for the uncorrected formation energy is 7.41 eV/f.u. As for the volume: 21.552 Å³/atom.


[6]
A plane-wave DFT calculation with PBE was carried out for PbIN2F after structural relaxation.

Cell and atoms, written as extended XYZ:
```
5
Lattice="-3.339 2.988 -0.672 -0.206 -1.210 -4.362 -4.231 -4.409 1.423" Properties=species:S:1:pos:R:3 pbc="T T T"
I -2.116 -2.205 0.711
N -1.670 1.494 -0.336
N -0.103 -0.605 -2.181
F -3.888 -1.316 -1.805
Pb 0.000 0.000 0.000
```

The value obtained for the uncorrected formation energy is 7.26 eV/f.u. As for the volume: 25.763 Å³/atom.